Ti5CdRu4 (PBE-GGA, optimized geometry); energy relative to the elements = -586 meV/atom
1.0
3.0823 0.0000 0.0000
0.0000 3.0823 0.0000
0.0000 0.0000 16.2939
Ti Cd Ru
5 1 4
direct
0.5000 0.5000 0.1229
0.5000 0.5000 0.3106
0.5000 0.5000 0.5000
0.5000 0.5000 0.6894
0.5000 0.5000 0.8771
0.0000 0.0000 0.0000
0.0000 0.0000 0.2151
0.0000 0.0000 0.4056
0.0000 0.0000 0.5944
0.0000 0.0000 0.7849

---

MnHg2Ir (PBE-GGA, optimized geometry); energy relative to the elements = 388 meV/atom; excess energy over the best structure of this formula in the dataset = 0.70 eV/f.u.
1.0
0.0000 3.2847 3.2847
3.2847 0.0000 3.2847
3.2847 3.2847 0.0000
Ir Hg Mn
1 2 1
direct
0.5000 0.5000 0.5000
0.2500 0.2500 0.2500
0.7500 0.7500 0.7500
0.0000 0.0000 0.0000

---

TbSc5Al2 (PBE-GGA, optimized geometry); energy relative to the elements = -167 meV/atom
1.0
3.3394 0.0000 0.0000
1.6697 7.5719 -0.3910
1.6697 1.9052 7.3388
Tb Sc Al
1 5 2
direct
0.0000 0.0000 0.0000
0.0000 0.5000 0.5000
0.6360 0.5872 0.1408
0.3640 0.4128 0.8592
0.3640 0.8592 0.4128
0.6360 0.1408 0.5872
0.7446 0.7554 0.7554
0.2554 0.2446 0.2446

---

CrP2C2 (PBE-GGA, optimized geometry); energy relative to the elements = 827 meV/atom; excess energy over the best structure of this formula in the dataset = 0.00 eV/f.u.
1.0
-4.1934 -4.3758 -1.0321
4.4357 -4.2570 0.0267
-0.3606 -0.3571 2.9793
Cr C P
2 4 4
direct
0.0000 0.0000 0.0000
0.5000 0.5000 0.0000
0.2179 0.7179 0.0000
0.7179 0.7821 0.0000
0.7821 0.2821 0.0000
0.2821 0.2179 0.0000
0.1236 0.6236 0.5000
0.6236 0.8764 0.5000
0.8764 0.3764 0.5000
0.3764 0.1236 0.5000

---

AcSn3Pd2 (PBE-GGA, optimized geometry); energy relative to the elements = -530 meV/atom; excess energy over the best structure of this formula in the dataset = 0.72 eV/f.u.
1.0
-5.4409 -2.6130 1.8196
3.3879 -3.9237 4.4957
-1.2988 5.4568 3.9523
Ac Sn Pd
2 6 4
direct
0.2500 0.3530 0.3530
0.7500 0.6470 0.6470
0.7500 0.4498 0.1141
0.7500 0.1141 0.4498
0.2500 0.5502 0.8859
0.7500 0.0151 0.0151
0.2500 0.9849 0.9849
0.2500 0.8859 0.5502
0.5000 0.7719 0.2281
0.0000 0.7719 0.2281
0.0000 0.2281 0.7719
0.5000 0.2281 0.7719

---

FeReRu2 (PBE-GGA, optimized geometry); energy relative to the elements = 119 meV/atom
1.0
8.8897 0.0011 0.0007
8.4760 2.6804 0.0007
8.4760 1.3088 2.3391
Fe Re Ru
1 1 2
direct
0.2500 0.2500 0.2500
0.7500 0.7500 0.7500
0.9988 0.9988 0.9988
0.5012 0.5012 0.5012

---

YMgAsBr2 (PBE-GGA, optimized geometry); formation energy (no corrections) = -666 meV per atom; excess energy over the best structure of this formula in the dataset = 0.06 eV/f.u.
1.0
4.8688 0.0000 0.0000
0.0000 4.8688 0.0000
0.0000 0.0000 5.7036
Y As Mg Br
1 1 1 2
direct
0.5000 0.5000 0.5000
0.0000 0.0000 0.5000
0.0000 0.0000 0.0000
0.0000 0.5000 0.0000
0.5000 0.0000 0.0000

---

TiTl2Fe (PBE-GGA, optimized geometry); energy relative to the elements = 596 meV/atom; excess energy over the best structure of this formula in the dataset = 0.20 eV/f.u.
1.0
7.5362 0.0000 0.0000
0.0000 7.5362 0.0000
3.7681 3.7681 2.9829
Tl Fe Ti
4 2 2
direct
0.6435 0.1250 0.2500
0.1065 0.6250 0.2500
0.3750 0.3565 0.7500
0.8750 0.8935 0.7500
0.0000 0.0000 0.0000
0.7500 0.2500 0.5000
0.5000 0.5000 0.0000
0.2500 0.7500 0.5000

---

Zn5Mo (PBE-GGA, optimized geometry); energy relative to the elements = 74 meV/atom; excess energy over the best structure of this formula in the dataset = 0.29 eV/f.u.
1.0
-0.4419 2.6465 -0.3155
-0.4104 0.2484 2.6587
11.9486 2.1904 1.6398
Zn Mo
5 1
direct
0.0000 0.0000 0.6684
0.5000 0.5000 0.8343
0.0000 0.0000 0.0000
0.5000 0.5000 0.1657
0.0000 0.0000 0.3316
0.5000 0.5000 0.5000

---

LaPr4Pb4 (PBE-GGA, optimized geometry); energy relative to the elements = -344 meV/atom
1.0
-1.5112 5.9556 -2.0544
-4.7681 1.8526 8.8782
8.7488 3.5829 3.9509
La Pr Pb
2 8 8
direct
0.0000 0.0000 0.0000
0.5000 0.5000 0.5000
0.5002 0.2997 0.8998
0.0002 0.6002 0.7997
0.5002 0.7003 0.1002
0.9998 0.2003 0.6002
0.4998 0.8998 0.7003
0.9998 0.7997 0.3998
0.0002 0.3998 0.2003
0.4998 0.1002 0.2997
0.4998 0.7997 0.3991
0.4998 0.2003 0.6009
0.9998 0.8991 0.7003
0.0002 0.2997 0.8991
0.0002 0.7003 0.1009
0.5002 0.3991 0.2003
0.5002 0.6009 0.7997
0.9998 0.1009 0.2997

---

MgRe2Hg (PBE-GGA, optimized geometry); energy relative to the elements = 1310 meV/atom; excess energy over the best structure of this formula in the dataset = 4.49 eV/f.u.
1.0
-6.7320 1.4833 -3.5994
-3.8564 -1.5567 6.5712
-5.1199 2.4074 2.1672
Re Mg Hg
4 2 2
direct
0.6488 0.1250 0.2500
0.1012 0.6250 0.2500
0.3750 0.3512 0.7500
0.8750 0.8988 0.7500
0.5000 0.5000 0.0000
0.2500 0.7500 0.5000
0.0000 0.0000 0.0000
0.7500 0.2500 0.5000

---

Pu4S (PBE-GGA, optimized geometry); formation energy (no corrections) = -126 meV per atom
1.0
-2.4760 -4.7057 -0.5070
4.4483 -2.5092 1.5644
-1.6164 0.3030 5.0820
S Pu
1 4
direct
0.5000 0.5000 0.5000
0.0000 0.0000 0.0000
0.5000 0.0000 0.5000
0.0000 0.5000 0.5000
0.5000 0.5000 0.0000

---

The evaluated DOS at the Fermi energy for the records listed, in turn: 0.555 0.668 1.576 0.412 0.626 1.125 0.027 0.595 0.352 1.012 0.848 6.703 states/eV per atom.